Arrangement a

VASP calculation (PBE-GGA) on crystalline ZrCdP3 at its relaxed geometry.

Values from the calculation:
Magnetization, μB/cell: 0.000
D(E_F), states/eV per cell: 4.2

a = 4.822 Å, b = 4.822 Å, c = 4.822 Å
α = 90.00°, β = 90.00°, γ = 90.00°
Space group Pm-3m (No. 221)
Symmetry-distinct sites (fractional):
Zr1 0.000 0.000 0.000 x1
Cd1 0.500 0.500 0.500 x1
P1 0.000 0.500 0.500 x3

Arrangement b

VASP calculation (PBE-GGA) on crystalline ZrCdP3 at its relaxed geometry.

Values from the calculation:
Magnetization, μB/cell: 0.000
D(E_F), states/eV per cell: 3.8

a = 5.026 Å, b = 5.026 Å, c = 5.026 Å
α = 90.00°, β = 90.00°, γ = 90.00°
Space group Pm-3m (No. 221)
Symmetry-distinct sites (fractional):
Zr1 0.000 0.000 0.000 x1
Cd1 0.500 0.500 0.500 x1
P1 0.000 0.000 0.500 x3

The least stable of them is arrangement a.